1.
MnReMo2, relaxed, DFT PBE; DFT formation energy = 38 kJ/mol of formula units; SG = F-43m; E_tot = -42.9 eV/cell; E above lowest polymorph = 30 meV/atom
1.0
4.3773 0.0000 0.0000
2.1887 3.7909 0.0000
2.1887 1.2636 3.5741
Mn Re Mo
1 1 2
direct
0.5000 0.5000 0.5000
0.7500 0.7500 0.7500
0.0000 0.0000 0.0000
0.2500 0.2500 0.2500



2.
MnReMo2, relaxed, DFT PBE; DFT formation energy = 52 kJ/mol of formula units; SG = Fm-3m; E_tot = -42.7 eV/cell; E above lowest polymorph = 67 meV/atom
1.0
0.0000 3.0769 3.0769
3.0769 0.0000 3.0769
3.0769 3.0769 0.0000
Mo Mn Re
2 1 1
direct
0.2500 0.2500 0.2500
0.7500 0.7500 0.7500
0.0000 0.0000 0.0000
0.5000 0.5000 0.5000



3.
Mn2ReMo, relaxed, DFT PBE; DFT formation energy = 46 kJ/mol of formula units; SG = Imm2; E_tot = -41.1 eV/cell
1.0
4.9695 -0.0065 0.0023
2.2437 4.4342 -0.0023
-3.1866 -2.8981 2.4785
Mo Mn Re
1 2 1
direct
0.5012 0.5012 0.0000
0.9986 0.9986 0.0000
0.7512 0.2512 0.5000
0.2490 0.7490 0.5000



4.
MnReMo2, relaxed, DFT PBE; DFT formation energy = 112 kJ/mol of formula units; SG = R3m; E_tot = -42.1 eV/cell; E above lowest polymorph = 222 meV/atom
1.0
9.2800 0.0088 0.0052
8.8775 2.7033 0.0052
8.8775 1.3260 2.3558
Mo Mn Re
2 1 1
direct
0.0060 0.0060 0.0060
0.2481 0.2481 0.2481
0.7524 0.7524 0.7524
0.4935 0.4935 0.4935



5.
Mn2ReMo, relaxed, DFT PBE; DFT formation energy = 59 kJ/mol of formula units; SG = Cmm2; E_tot = -41.0 eV/cell
1.0
-1.3016 2.2138 0.6091
-1.7787 -1.7773 -0.8022
-0.8568 -2.6288 7.7240
Mo Mn Re
1 2 1
direct
0.0000 0.0000 0.4871
0.5000 0.5000 0.2377
0.0000 0.0000 0.0099
0.5000 0.5000 0.7654



6.
MnReMo, relaxed, DFT PBE; DFT formation energy = 163 kJ/mol of formula units; SG = F-43m; E_tot = -30.8 eV/cell; E above lowest polymorph = 489 meV/atom
1.0
4.0567 0.0000 0.0000
2.0283 3.5132 0.0000
2.0283 1.1711 3.3123
Mn Mo Re
1 1 1
direct
0.7500 0.7500 0.7500
0.0000 0.0000 0.0000
0.5000 0.5000 0.5000



7.
Mn2ReMo, relaxed, DFT PBE; DFT formation energy = 44 kJ/mol of formula units; SG = Cmmm; E_tot = -41.2 eV/cell
1.0
2.6352 0.0054 0.0000
-0.7516 2.5257 0.0000
0.0000 0.0000 8.2185
Mo Re Mn
1 1 2
direct
0.5000 0.5000 0.2500
0.5000 0.5000 0.7500
0.0000 0.0000 0.5033
0.0000 0.0000 0.9967



8.
Mn2ReMo, relaxed, DFT PBE; DFT formation energy = 36 kJ/mol of formula units; SG = P4mm; E_tot = -41.2 eV/cell
1.0
3.0581 0.0000 0.0000
0.0000 3.0581 0.0000
0.0000 0.0000 5.8042
Mo Mn Re
1 2 1
direct
0.0000 0.0000 0.4830
0.0000 0.0000 0.0065
0.5000 0.5000 0.2434
0.5000 0.5000 0.7671



Repeat the fourth record exactly.
MnReMo2, relaxed, DFT PBE; DFT formation energy = 112 kJ/mol of formula units; SG = R3m; E_tot = -42.1 eV/cell; E above lowest polymorph = 222 meV/atom
1.0
9.2800 0.0088 0.0052
8.8775 2.7033 0.0052
8.8775 1.3260 2.3558
Mo Mn Re
2 1 1
direct
0.0060 0.0060 0.0060
0.2481 0.2481 0.2481
0.7524 0.7524 0.7524
0.4935 0.4935 0.4935